# 1
SnAs2OsSe: relaxed, PBE.

a = 4.680 Å, b = 4.680 Å, c = 5.570 Å
α = 90.00°, β = 90.00°, γ = 90.00°
Fractional positions:
Sn: 0.000 0.000 0.000
As: 0.000 0.500 0.500
As: 0.500 0.000 0.500
Os: 0.500 0.500 0.500
Se: 0.500 0.500 0.000

Computed properties:
As for the energy above the lowest structure with this stoichiometry: 0 meV per atom. The calculation puts the density of states at the Fermi level at 3.18 states/eV/f.u. The calculation puts the magnetic moment at 0.00 μB per cell. For the formation energy without anion corrections, the calculation gives 0.444 eV/atom.

# 2
SrAs2OsSe: relaxed, PBE.

a = 5.594 Å, b = 5.594 Å, c = 5.475 Å
α = 90.00°, β = 90.00°, γ = 90.00°
Fractional positions:
Sr: 0.000 0.000 0.000
As: 0.000 0.500 0.000
As: 0.500 0.000 0.000
Os: 0.500 0.500 0.500
Se: 0.000 0.000 0.500

Computed properties:
As for the energy above the lowest structure with this stoichiometry: 2145 meV per atom. The calculation puts the density of states at the Fermi level at 7.56 states/eV/f.u. The calculation puts the magnetic moment at 3.16 μB per cell. For the formation energy without anion corrections, the calculation gives 1.926 eV/atom.

# 3
SrAs2OsSe: relaxed, PBE.

a = 4.633 Å, b = 4.633 Å, c = 6.447 Å
α = 90.00°, β = 90.00°, γ = 90.00°
Fractional positions:
Sr: 0.000 0.000 0.000
As: 0.000 0.500 0.500
As: 0.500 0.000 0.500
Os: 0.000 0.000 0.500
Se: 0.500 0.500 0.000

Computed properties:
As for the energy above the lowest structure with this stoichiometry: 36 meV per atom. The calculation puts the density of states at the Fermi level at 3.98 states/eV/f.u. The calculation puts the magnetic moment at 0.00 μB per cell. For the formation energy without anion corrections, the calculation gives -0.183 eV/atom.

# 4
SrAs2OsSe: relaxed, PBE.

a = 4.700 Å, b = 4.700 Å, c = 5.767 Å
α = 90.00°, β = 90.00°, γ = 90.00°
Fractional positions:
Sr: 0.000 0.000 0.000
As: 0.000 0.500 0.500
As: 0.500 0.000 0.500
Os: 0.500 0.500 0.500
Se: 0.500 0.500 0.000

Computed properties:
As for the energy above the lowest structure with this stoichiometry: 0 meV per atom. The calculation puts the density of states at the Fermi level at 3.65 states/eV/f.u. The calculation puts the magnetic moment at 0.00 μB per cell. For the formation energy without anion corrections, the calculation gives -0.219 eV/atom.

# 5
TaAsOsSe2: relaxed, PBE.

a = 4.726 Å, b = 4.726 Å, c = 5.103 Å
α = 90.00°, β = 90.00°, γ = 90.00°
Fractional positions:
Ta: 0.000 0.000 0.000
As: 0.500 0.500 0.000
Os: 0.000 0.000 0.500
Se: 0.000 0.500 0.500
Se: 0.500 0.000 0.500

Computed properties:
As for the energy above the lowest structure with this stoichiometry: 0 meV per atom. The calculation puts the density of states at the Fermi level at 6.39 states/eV/f.u. The calculation puts the magnetic moment at 0.00 μB per cell. For the formation energy without anion corrections, the calculation gives 1.064 eV/atom.

# 6
TaAsOsSe2: relaxed, PBE.

a = 4.963 Å, b = 4.963 Å, c = 4.566 Å
α = 90.00°, β = 90.00°, γ = 90.00°
Fractional positions:
Ta: 0.000 0.000 0.000
As: 0.500 0.500 0.000
Os: 0.500 0.500 0.500
Se: 0.000 0.500 0.500
Se: 0.500 0.000 0.500

Computed properties:
As for the energy above the lowest structure with this stoichiometry: 92 meV per atom. The calculation puts the density of states at the Fermi level at 5.92 states/eV/f.u. The calculation puts the magnetic moment at 1.96 μB per cell. For the formation energy without anion corrections, the calculation gives 1.156 eV/atom.

# 7
TaAsOsSe2: relaxed, PBE.

a = 4.918 Å, b = 4.918 Å, c = 5.114 Å
α = 90.00°, β = 90.00°, γ = 90.00°
Fractional positions:
Ta: 0.000 0.000 0.000
As: 0.000 0.000 0.500
Os: 0.500 0.500 0.500
Se: 0.000 0.500 0.000
Se: 0.500 0.000 0.000

Computed properties:
As for the energy above the lowest structure with this stoichiometry: 125 meV per atom. The calculation puts the density of states at the Fermi level at 5.62 states/eV/f.u. The calculation puts the magnetic moment at 3.90 μB per cell. For the formation energy without anion corrections, the calculation gives 1.189 eV/atom.

# 8
TcAs2OsSe: relaxed, PBE.

a = 4.640 Å, b = 4.640 Å, c = 5.433 Å
α = 90.00°, β = 90.00°, γ = 90.00°
Fractional positions:
Tc: 0.000 0.000 0.000
As: 0.000 0.500 0.500
As: 0.500 0.000 0.500
Os: 0.500 0.500 0.500
Se: 0.500 0.500 0.000

Computed properties:
As for the energy above the lowest structure with this stoichiometry: 0 meV per atom. The calculation puts the density of states at the Fermi level at 4.35 states/eV/f.u. The calculation puts the magnetic moment at 3.89 μB per cell. For the formation energy without anion corrections, the calculation gives 1.195 eV/atom.

# 9
TcAsOsSe2: relaxed, PBE.

a = 4.747 Å, b = 4.747 Å, c = 4.742 Å
α = 90.00°, β = 90.00°, γ = 90.00°
Fractional positions:
Tc: 0.000 0.000 0.000
As: 0.000 0.000 0.500
Os: 0.500 0.500 0.500
Se: 0.000 0.500 0.000
Se: 0.500 0.000 0.000

Computed properties:
As for the energy above the lowest structure with this stoichiometry: 174 meV per atom. The calculation puts the density of states at the Fermi level at 5.35 states/eV/f.u. The calculation puts the magnetic moment at 0.63 μB per cell. For the formation energy without anion corrections, the calculation gives 1.391 eV/atom.

# 10
TcAsOsSe2: relaxed, PBE.

a = 5.060 Å, b = 5.060 Å, c = 4.585 Å
α = 90.00°, β = 90.00°, γ = 90.00°
Fractional positions:
Tc: 0.000 0.000 0.000
As: 0.500 0.500 0.000
Os: 0.500 0.500 0.500
Se: 0.000 0.500 0.500
Se: 0.500 0.000 0.500

Computed properties:
As for the energy above the lowest structure with this stoichiometry: 0 meV per atom. The calculation puts the density of states at the Fermi level at 5.29 states/eV/f.u. The calculation puts the magnetic moment at 3.60 μB per cell. For the formation energy without anion corrections, the calculation gives 1.217 eV/atom.

# 11
TeAs2OsSe: relaxed, PBE.

a = 4.705 Å, b = 4.705 Å, c = 5.318 Å
α = 90.00°, β = 90.00°, γ = 90.00°
Fractional positions:
Te: 0.000 0.000 0.000
As: 0.000 0.500 0.500
As: 0.500 0.000 0.500
Os: 0.500 0.500 0.500
Se: 0.500 0.500 0.000

Computed properties:
As for the energy above the lowest structure with this stoichiometry: 0 meV per atom. The calculation puts the density of states at the Fermi level at 4.80 states/eV/f.u. The calculation puts the magnetic moment at 0.00 μB per cell. For the formation energy without anion corrections, the calculation gives 0.540 eV/atom.

# 12
Th6AsOs2Se3: relaxed, PBE.

a = 7.276 Å, b = 7.276 Å, c = 7.550 Å
α = 99.22°, β = 99.22°, γ = 119.97°
Fractional positions:
Th: 0.073 0.424 0.777
Th: 0.222 0.222 0.221
Th: 0.424 0.073 0.777
Th: 0.576 0.927 0.223
Th: 0.778 0.778 0.779
Th: 0.927 0.576 0.223
As: 0.500 0.500 0.000
Os: 0.168 0.832 0.000
Os: 0.832 0.168 0.000
Se: 0.000 0.000 0.500
Se: 0.342 0.658 0.500
Se: 0.658 0.342 0.500

Computed properties:
The calculation puts the density of states at the Fermi level at 7.75 states/eV/f.u. The calculation puts the magnetic moment at 0.00 μB per cell. For the formation energy without anion corrections, the calculation gives -1.168 eV/atom.